First-principles (GGA-PBE) data for a geometry-optimized Ga2NiSe4 structure, as listed in OQMD via LeMat-Bulk.

Results
mass density = 5.7 g/cm3
E_tot = -4.04 eV per atom
M_tot = 0.02 μB/f.u.

Cell lengths 7.487, 7.487, 10.668 Å; angles 90.00, 90.00, 90.00 degrees
Element x y z (fractional)
1 Ga 0.500 0.762 0.000
2 Ga 0.753 0.247 0.125
3 Ga 0.238 0.500 0.250
4 Ga 0.753 0.753 0.375
5 Ga 0.500 0.238 0.500
6 Ga 0.247 0.753 0.625
7 Ga 0.762 0.500 0.750
8 Ga 0.247 0.247 0.875
9 Ni 0.000 0.745 0.000
10 Ni 0.255 0.000 0.250
11 Ni 0.000 0.255 0.500
12 Ni 0.745 0.000 0.750
13 Se 0.240 0.527 0.003
14 Se 0.234 0.983 0.019
15 Se 0.017 0.766 0.231
16 Se 0.473 0.760 0.247
17 Se 0.473 0.240 0.253
18 Se 0.017 0.234 0.269
19 Se 0.234 0.017 0.481
20 Se 0.240 0.473 0.497
21 Se 0.760 0.473 0.503
22 Se 0.766 0.017 0.519
23 Se 0.983 0.234 0.731
24 Se 0.527 0.240 0.747
25 Se 0.527 0.760 0.753
26 Se 0.983 0.766 0.769
27 Se 0.766 0.983 0.981
28 Se 0.760 0.527 0.997